Entry 1:
VASP calculation (SCAN) on K2SrSb at its PBEsol-relaxed geometry.

Fermi-level density of states: 2.669 states/eV per cell
formation energy from raw total energies: 0.009 eV per atom

```
K2SrSb
1.0
2.0066 1.1585 13.2246
-2.0066 1.1585 13.2246
0.0000 -2.3170 13.2246
K Sr Sb
2 1 1
Cartesian
0.0000 0.0000 9.2008
0.0000 0.0000 30.4729
0.0000 0.0000 0.0000
0.0000 0.0000 19.8369
```

Entry 2:
VASP calculation (SCAN) on Cr2IrW at its PBEsol-relaxed geometry.

Fermi-level density of states: 4.408 states/eV per cell

```
Cr2IrW
1.0
2.5974 -4.1626 0.0000
2.5974 4.1626 0.0000
-0.9042 0.0000 2.4612
Cr Ir W
2 1 1
Cartesian
1.2987 2.0813 0.0000
1.2987 -2.0813 0.0000
-0.4521 0.0000 1.2306
2.1453 0.0000 1.2306
```

Entry 3:
VASP calculation (SCAN) on TiFeH2 at its PBEsol-relaxed geometry.

excess energy over the best structure of this formula in the dataset: 11.4 kJ/mol of atoms
Fermi-level density of states: 1.887 states/eV per cell

```
TiFeH2
1.0
-1.9335 1.9335 4.1604
1.9335 -1.9335 4.1604
1.9335 1.9335 -4.1604
Ti Fe H
2 2 4
Cartesian
0.0000 0.0000 0.0000
0.0000 1.9335 2.0802
1.9335 0.0000 2.0802
0.0000 0.0000 4.1604
0.9668 -0.7601 3.1203
1.1734 0.9668 1.0401
0.9668 2.6936 -1.0401
0.7601 0.9668 5.2006
```

Entry 4:
VASP calculation (SCAN) on ZrSc5 at its PBEsol-relaxed geometry.

excess energy over the best structure of this formula in the dataset: 0.2 kJ/mol of atoms
Fermi-level density of states: 8.202 states/eV per cell

```
ZrSc5
1.0
5.0680 0.0000 0.0000
0.0000 1.6201 8.4630
0.0000 -1.6201 8.4630
Zr Sc
1 5
Cartesian
0.0000 0.0000 0.0000
0.0000 0.0000 5.6537
0.0000 0.0000 11.1995
2.5340 0.0000 3.7527
2.5340 0.0000 9.3498
2.5340 0.0000 15.0404
```

Entry 5:
VASP calculation (SCAN) on K3Li at its PBEsol-relaxed geometry.

Fermi-level density of states: 2.581 states/eV per cell

```
K3Li
1.0
6.0975 0.0000 0.0000
0.0000 6.0975 0.0000
0.0000 0.0000 6.0975
K Li
3 1
Cartesian
0.0000 0.0000 3.0488
0.0000 3.0488 0.0000
3.0488 0.0000 0.0000
3.0488 3.0488 3.0488
```

Entry 6:
VASP calculation (SCAN) on YMg5 at its PBEsol-relaxed geometry.

Fermi-level density of states: 2.591 states/eV per cell

```
YMg5
1.0
3.5032 0.0000 0.0000
0.0000 3.5032 0.0000
0.0000 0.0000 11.5964
Y Mg
1 5
Cartesian
0.0000 0.0000 0.0000
0.0000 0.0000 3.9519
0.0000 0.0000 7.6445
1.7516 1.7516 2.1609
1.7516 1.7516 5.7982
1.7516 1.7516 9.4356
```

The following electronic total energy values (in eV/atom) correspond, in order, to the records above: -19.039, -44.301, -10.399, -16.973, -6.738, -8.840.